# 1
DFT (PBE-GGA) results for crystalline TiSBr2 at its relaxed geometry.

Cell: 12.691 3.272 7.158 Å, 90.00 117.80 90.00°
Space group Cm (No. 8)
Symmetry-distinct sites (fractional):
Ti 0.000 0.000 0.000 x2
S 0.370 0.000 0.001 x2
Br 0.015 0.500 0.728 x2
Br 0.159 0.500 0.271 x2

Properties
electronic total energy = -4.9004 eV/atom
mass density = 3.03 g/cm³
ΔE to the lowest computed polymorph = 0 meV/atom
raw formation energy = -1.06 eV/atom



# 2
DFT (PBE-GGA) results for crystalline TiSBr2 at its relaxed geometry.

Cell: 3.3224 3.3224 30.8645 Å, 90.00 90.00 120.00°
Space group R-3m (No. 166, hexagonal axes)
Symmetry-distinct sites (fractional):
Ti 0.0000 0.0000 0.0000 x3
S 0.0000 0.0000 0.5000 x3
Br 0.0000 0.0000 0.3896 x6

Properties
N(E_F) = 3.007 states/eV/f.u.
electronic total energy = -4.0870 eV/atom
mass density = 4.05 g/cm³
ΔE to the lowest computed polymorph = 813 meV/atom
raw formation energy = -0.24 eV/atom



# 3
DFT (PBE-GGA) results for crystalline TiTlS2Br at its relaxed geometry.

Cell: 4.602 4.602 6.500 Å, 90.00 90.00 90.00°
Space group P4/mmm (No. 123)
Symmetry-distinct sites (fractional):
Ti 0.000 0.000 0.000 x1
Tl 0.000 0.000 0.500 x1
S 0.000 0.500 0.000 x2
Br 0.500 0.500 0.500 x1

Properties
N(E_F) = 3.005 states/eV/f.u.
electronic total energy = -4.5553 eV/atom
mass density = 4.78 g/cm³
raw formation energy = -0.52 eV/atom



# 4
DFT (PBE-GGA) results for crystalline Ti2TlSBr at its relaxed geometry.

Cell: 4.646 4.646 6.813 Å, 90.00 90.00 90.00°
Space group P4/mmm (No. 123)
Symmetry-distinct sites (fractional):
Ti 0.000 0.500 0.000 x2
Tl 0.000 0.000 0.500 x1
S 0.000 0.000 0.000 x1
Br 0.500 0.500 0.500 x1

Properties
N(E_F) = 7.748 states/eV/f.u.
electronic total energy = -4.8005 eV/atom
mass density = 4.65 g/cm³
raw formation energy = -0.01 eV/atom



# 5
DFT (PBE-GGA) results for crystalline ZrTi2SBr at its relaxed geometry.

Cell: 4.396 4.396 5.897 Å, 90.00 90.00 90.00°
Space group P4/mmm (No. 123)
Symmetry-distinct sites (fractional):
Zr 0.000 0.000 0.000 x1
Ti 0.000 0.500 0.500 x2
S 0.500 0.500 0.500 x1
Br 0.500 0.500 0.000 x1

Properties
N(E_F) = 3.455 states/eV/f.u.
electronic total energy = -5.9120 eV/atom
mass density = 4.36 g/cm³
raw formation energy = 0.12 eV/atom



# 6
DFT (PBE-GGA) results for crystalline Tl6SBr4 at its relaxed geometry.

Cell: 8.974 8.974 9.529 Å, 90.00 90.00 90.00°
Space group P4/mnc (No. 128)
Symmetry-distinct sites (fractional):
Tl 0.000 0.000 0.198 x4
Tl 0.099 0.315 0.500 x8
S 0.000 0.000 0.500 x2
Br 0.173 0.673 0.250 x8

Properties
N(E_F) = 0.000 states/eV/f.u.
electronic total energy = -2.9950 eV/atom
mass density = 6.83 g/cm³
raw formation energy = -0.72 eV/atom



# 7
DFT (PBE-GGA) results for crystalline TlS2Br at its relaxed geometry.

Cell: 7.044 7.044 7.044 Å, 90.00 90.00 90.00°
Space group Fm-3m (No. 225)
Symmetry-distinct sites (fractional):
Tl 0.000 0.000 0.000 x4
S 0.250 0.250 0.250 x8
Br 0.000 0.000 0.500 x4

Properties
N(E_F) = 3.674 states/eV/f.u.
electronic total energy = -2.4543 eV/atom
mass density = 6.62 g/cm³
ΔE to the lowest computed polymorph = 582 meV/atom
raw formation energy = 0.62 eV/atom



# 8
DFT (PBE-GGA) results for crystalline Tl6S3Br at its relaxed geometry.

Cell: 11.158 4.238 14.402 Å, 90.00 110.25 90.00°
Space group P2_1/m (No. 11)
Symmetry-distinct sites (fractional):
Tl 0.068 0.250 0.425 x2
Tl 0.086 0.750 0.884 x2
Tl 0.261 0.250 0.726 x2
Tl 0.267 0.750 0.276 x2
Tl 0.419 0.750 0.587 x2
Tl 0.429 0.750 0.087 x2
S 0.006 0.750 0.280 x2
S 0.330 0.250 0.440 x2
S 0.351 0.750 0.873 x2
Br 0.191 0.250 0.076 x2

Properties
N(E_F) = 4.380 states/eV/f.u.
electronic total energy = -3.2027 eV/atom
mass density = 7.29 g/cm³
raw formation energy = -0.38 eV/atom